(1)
# CaScTe4

A geometry-optimized CaScTe4 structure (PBE, Alexandria via LeMat-Bulk).

CIF file:
```
data_CaScTe4
_chemical_formula_sum 'Ca4 Sc4 Te16'
_cell_length_a 9.068
_cell_length_b 9.068
_cell_length_c 9.068
_cell_angle_alpha 90.00
_cell_angle_beta 90.00
_cell_angle_gamma 90.00
_space_group_name_H-M_alt 'F -4 3 m'
_space_group_IT_number 216
_space_group_name_Hall 'F -4 2 3'
loop_
_atom_site_label
_atom_site_type_symbol
_atom_site_fract_x
_atom_site_fract_y
_atom_site_fract_z
Ca1 Ca 0.000 0.000 0.000
Sc1 Sc 0.250 0.250 0.750
Te1 Te 0.125 0.125 0.375
```

Calculated values
**Density of states at the Fermi level**: 30.48 states/eV per cell
**Energy**: -82.22 eV for the cell shown
**Crystal system**: cubic
**Raw formation energy**: 0.06 eV per atom

(2)
# Ca2ScTe

A geometry-optimized Ca2ScTe structure (PBE, Alexandria via LeMat-Bulk).

CIF file:
```
data_Ca2ScTe
_chemical_formula_sum 'Ca4 Sc2 Te2'
_cell_length_a 4.575
_cell_length_b 4.575
_cell_length_c 11.038
_cell_angle_alpha 90.00
_cell_angle_beta 90.00
_cell_angle_gamma 90.00
_space_group_name_H-M_alt 'I 4/m m m'
_space_group_IT_number 139
_space_group_name_Hall '-I 4 2'
loop_
_atom_site_label
_atom_site_type_symbol
_atom_site_fract_x
_atom_site_fract_y
_atom_site_fract_z
Ca1 Ca 0.000 0.500 0.250
Sc1 Sc 0.000 0.000 0.000
Te1 Te 0.000 0.000 0.500
```

Calculated values
**Density of states at the Fermi level**: 6.91 states/eV per cell
**Energy**: -29.98 eV for the cell shown
**Crystal system**: tetragonal
**Raw formation energy**: -0.38 eV per atom

(3)
# Ca2ScTe

A geometry-optimized Ca2ScTe structure (PBE, Alexandria via LeMat-Bulk).

CIF file:
```
data_Ca2ScTe
_chemical_formula_sum 'Ca8 Sc4 Te4'
_cell_length_a 9.150
_cell_length_b 9.150
_cell_length_c 6.441
_cell_angle_alpha 90.00
_cell_angle_beta 90.00
_cell_angle_gamma 90.00
_space_group_name_H-M_alt 'I -4 2 d'
_space_group_IT_number 122
_space_group_name_Hall 'I -4 2bw'
loop_
_atom_site_label
_atom_site_type_symbol
_atom_site_fract_x
_atom_site_fract_y
_atom_site_fract_z
Ca1 Ca 0.204 0.250 0.125
Sc1 Sc 0.000 0.000 0.500
Te1 Te 0.000 0.000 0.000
```

Calculated values
**Density of states at the Fermi level**: 18.75 states/eV per cell
**Energy**: -57.54 eV for the cell shown
**Crystal system**: tetragonal
**Raw formation energy**: -0.23 eV per atom

(4)
# CaSc2Te

A geometry-optimized CaSc2Te structure (PBE, Alexandria via LeMat-Bulk).

CIF file:
```
data_CaSc2Te
_chemical_formula_sum 'Ca2 Sc4 Te2'
_cell_length_a 4.457
_cell_length_b 4.457
_cell_length_c 10.633
_cell_angle_alpha 90.00
_cell_angle_beta 90.00
_cell_angle_gamma 90.00
_space_group_name_H-M_alt 'I 4/m m m'
_space_group_IT_number 139
_space_group_name_Hall '-I 4 2'
loop_
_atom_site_label
_atom_site_type_symbol
_atom_site_fract_x
_atom_site_fract_y
_atom_site_fract_z
Ca1 Ca 0.000 0.000 0.000
Sc1 Sc 0.000 0.500 0.250
Te1 Te 0.000 0.000 0.500
```

Calculated values
**Density of states at the Fermi level**: 7.69 states/eV per cell
**Energy**: -38.50 eV for the cell shown
**Crystal system**: tetragonal
**Raw formation energy**: -0.36 eV per atom

(5)
# CaSc2Tl3Te6

A geometry-optimized CaSc2Tl3Te6 structure (PBE, Alexandria via LeMat-Bulk).

CIF file:
```
data_CaSc2Tl3Te6
_chemical_formula_sum 'Ca2 Sc4 Tl6 Te12'
_cell_length_a 7.579
_cell_length_b 13.126
_cell_length_c 8.308
_cell_angle_alpha 90.00
_cell_angle_beta 107.75
_cell_angle_gamma 90.00
_space_group_name_H-M_alt 'C 1 2/m 1'
_space_group_IT_number 12
loop_
_space_group_symop_operation_xyz
'x,y,z'
'-x,-y,-z'
'-x,y,-z'
'x,-y,z'
'x+1/2,y+1/2,z'
'-x+1/2,-y+1/2,-z'
'-x+1/2,y+1/2,-z'
'x+1/2,-y+1/2,z'
loop_
_atom_site_label
_atom_site_type_symbol
_atom_site_fract_x
_atom_site_fract_y
_atom_site_fract_z
Ca1 Ca 0.000 0.000 0.000
Sc1 Sc 0.000 0.331 0.000
Tl1 Tl 0.000 0.160 0.500
Tl2 Tl 0.000 0.500 0.500
Te1 Te 0.214 0.500 0.204
Te2 Te 0.248 0.176 0.211
```

Calculated values
**Density of states at the Fermi level**: 10.86 states/eV per cell
**Energy**: -103.03 eV for the cell shown
**Crystal system**: monoclinic
**Raw formation energy**: -0.91 eV per atom

(6)
# Ca2TmScTe4

A geometry-optimized Ca2TmScTe4 structure (PBE, Alexandria via LeMat-Bulk).

CIF file:
```
data_Ca2TmScTe4
_chemical_formula_sum 'Ca2 Tm1 Sc1 Te4'
_cell_length_a 7.496
_cell_length_b 4.335
_cell_length_c 7.652
_cell_angle_alpha 90.00
_cell_angle_beta 109.14
_cell_angle_gamma 90.00
_space_group_name_H-M_alt 'P 1 2/m 1'
_space_group_IT_number 10
loop_
_space_group_symop_operation_xyz
'x,y,z'
'-x,-y,-z'
'-x,y,-z'
'x,-y,z'
loop_
_atom_site_label
_atom_site_type_symbol
_atom_site_fract_x
_atom_site_fract_y
_atom_site_fract_z
Ca1 Ca 0.000 0.000 0.000
Ca2 Ca 0.500 0.500 0.000
Tm1 Tm 0.000 0.500 0.500
Sc1 Sc 0.500 0.000 0.500
Te1 Te 0.250 0.000 0.738
Te2 Te 0.259 0.500 0.265
```

Calculated values
**Density of states at the Fermi level**: 4.15 states/eV per cell
**Energy**: -38.39 eV for the cell shown
**Crystal system**: monoclinic
**Raw formation energy**: -1.38 eV per atom

(7)
# CaTm2ScTe4

A geometry-optimized CaTm2ScTe4 structure (PBE, Alexandria via LeMat-Bulk).

CIF file:
```
data_CaTm2ScTe4
_chemical_formula_sum 'Ca2 Tm4 Sc2 Te8'
_cell_length_a 6.090
_cell_length_b 6.090
_cell_length_c 12.213
_cell_angle_alpha 90.00
_cell_angle_beta 90.00
_cell_angle_gamma 90.00
_space_group_name_H-M_alt 'I -4 m 2'
_space_group_IT_number 119
_space_group_name_Hall 'I -4 -2'
loop_
_atom_site_label
_atom_site_type_symbol
_atom_site_fract_x
_atom_site_fract_y
_atom_site_fract_z
Ca1 Ca 0.000 0.000 0.000
Tm1 Tm 0.000 0.000 0.500
Tm2 Tm 0.000 0.500 0.250
Sc1 Sc 0.000 0.500 0.750
Te1 Te 0.000 0.000 0.252
Te2 Te 0.000 0.500 0.503
```

Calculated values
**Density of states at the Fermi level**: 4.66 states/eV per cell
**Energy**: -79.71 eV for the cell shown
**Crystal system**: tetragonal
**Raw formation energy**: -1.25 eV per atom

(8)
# Ca3Y2ScTe6

A geometry-optimized Ca3Y2ScTe6 structure (PBE, Alexandria via LeMat-Bulk).

CIF file:
```
data_Ca3Y2ScTe6
_chemical_formula_sum 'Ca6 Y4 Sc2 Te12'
_cell_length_a 19.274
_cell_length_b 4.364
_cell_length_c 8.858
_cell_angle_alpha 90.00
_cell_angle_beta 104.60
_cell_angle_gamma 90.00
_space_group_name_H-M_alt 'C 1 2/m 1'
_space_group_IT_number 12
loop_
_space_group_symop_operation_xyz
'x,y,z'
'-x,-y,-z'
'-x,y,-z'
'x,-y,z'
'x+1/2,y+1/2,z'
'-x+1/2,-y+1/2,-z'
'-x+1/2,y+1/2,-z'
'x+1/2,-y+1/2,z'
loop_
_atom_site_label
_atom_site_type_symbol
_atom_site_fract_x
_atom_site_fract_y
_atom_site_fract_z
Ca1 Ca 0.000 0.000 0.000
Ca2 Ca 0.169 0.500 0.334
Y1 Y 0.166 0.500 0.832
Sc1 Sc 0.000 0.000 0.500
Te1 Te 0.000 0.500 0.263
Te2 Te 0.161 0.000 0.582
Te3 Te 0.168 0.000 0.081
```

Calculated values
**Density of states at the Fermi level**: 11.78 states/eV per cell
**Energy**: -122.47 eV for the cell shown
**Crystal system**: monoclinic
**Raw formation energy**: -1.43 eV per atom

(9)
# Ca4Y3ScTe8

A geometry-optimized Ca4Y3ScTe8 structure (PBE, Alexandria via LeMat-Bulk).

CIF file:
```
data_Ca4Y3ScTe8
_chemical_formula_sum 'Ca12 Y9 Sc3 Te24'
_cell_length_a 8.7445
_cell_length_b 8.7445
_cell_length_c 21.9030
_cell_angle_alpha 90.00
_cell_angle_beta 90.00
_cell_angle_gamma 120.00
_space_group_name_H-M_alt 'R -3 m'
_space_group_IT_number 166
_space_group_name_Hall '-R 3 2"'
loop_
_atom_site_label
_atom_site_type_symbol
_atom_site_fract_x
_atom_site_fract_y
_atom_site_fract_z
Ca1 Ca 0.0000 0.0000 0.0000
Ca2 Ca 0.0000 0.5000 0.0000
Y1 Y 0.0000 0.5000 0.5000
Sc1 Sc 0.0000 0.0000 0.5000
Te1 Te 0.0000 0.0000 0.2487
Te2 Te 0.0069 0.5034 0.2470
```

Calculated values
**Density of states at the Fermi level**: 20.79 states/eV per cell
**Energy**: -245.60 eV for the cell shown
**Crystal system**: trigonal
**Raw formation energy**: -1.44 eV per atom

(10)
# CaScZn2Te

A geometry-optimized CaScZn2Te structure (PBE, Alexandria via LeMat-Bulk).

CIF file:
```
data_CaScZn2Te
_chemical_formula_sum 'Ca1 Sc1 Zn2 Te1'
_cell_length_a 5.358
_cell_length_b 5.358
_cell_length_c 5.343
_cell_angle_alpha 90.00
_cell_angle_beta 90.00
_cell_angle_gamma 90.00
_space_group_name_H-M_alt 'P 4/m m m'
_space_group_IT_number 123
_space_group_name_Hall '-P 4 2'
loop_
_atom_site_label
_atom_site_type_symbol
_atom_site_fract_x
_atom_site_fract_y
_atom_site_fract_z
Ca1 Ca 0.000 0.000 0.000
Sc1 Sc 0.500 0.500 0.000
Zn1 Zn 0.000 0.500 0.500
Te1 Te 0.500 0.500 0.500
```

Calculated values
**Density of states at the Fermi level**: 6.10 states/eV per cell
**Energy**: -12.72 eV for the cell shown
**Crystal system**: tetragonal
**Raw formation energy**: 0.26 eV per atom

(11)
# CaZr2ScTe

A geometry-optimized CaZr2ScTe structure (PBE, Alexandria via LeMat-Bulk).

CIF file:
```
data_CaZr2ScTe
_chemical_formula_sum 'Ca1 Zr2 Sc1 Te1'
_cell_length_a 5.099
_cell_length_b 5.099
_cell_length_c 5.476
_cell_angle_alpha 90.00
_cell_angle_beta 90.00
_cell_angle_gamma 90.00
_space_group_name_H-M_alt 'P 4/m m m'
_space_group_IT_number 123
_space_group_name_Hall '-P 4 2'
loop_
_atom_site_label
_atom_site_type_symbol
_atom_site_fract_x
_atom_site_fract_y
_atom_site_fract_z
Ca1 Ca 0.000 0.000 0.000
Zr1 Zr 0.000 0.500 0.000
Sc1 Sc 0.500 0.500 0.500
Te1 Te 0.000 0.000 0.500
```

Calculated values
**Density of states at the Fermi level**: 7.89 states/eV per cell
**Energy**: -23.11 eV for the cell shown
**Crystal system**: tetragonal
**Raw formation energy**: 1.09 eV per atom

(12)
# CaTh2Sc

A geometry-optimized CaTh2Sc structure (PBE, Alexandria via LeMat-Bulk).

CIF file:
```
data_CaTh2Sc
_chemical_formula_sum 'Ca1 Th2 Sc1'
_cell_length_a 4.976
_cell_length_b 4.976
_cell_length_c 5.047
_cell_angle_alpha 90.00
_cell_angle_beta 90.00
_cell_angle_gamma 90.00
_space_group_name_H-M_alt 'P 4/m m m'
_space_group_IT_number 123
_space_group_name_Hall '-P 4 2'
loop_
_atom_site_label
_atom_site_type_symbol
_atom_site_fract_x
_atom_site_fract_y
_atom_site_fract_z
Ca1 Ca 0.000 0.000 0.000
Th1 Th 0.000 0.500 0.500
Sc1 Sc 0.500 0.500 0.000
```

Calculated values
**Density of states at the Fermi level**: 5.05 states/eV per cell
**Energy**: -22.35 eV for the cell shown
**Crystal system**: tetragonal
**ΔE_f**: 0.83 eV/f.u.
**Relative energy among the computed polymorphs**: 0.073 eV per atom